DFT (PBE) results for a relaxed CsKRb2Te crystal.

Symmetry: P4/mmm
E_form (uncorrected): -500 meV/atom
Energy relative to the lowest polymorph listed for this composition: 11 meV/atom

Geometry as POSCAR:
```
CsKRb2Te
1.0
7.266 0.000 0.000
0.000 7.266 0.000
0.000 0.000 6.944
Cs K Rb Te
1 1 2 1
Direct
0.000 0.000 0.000
0.500 0.500 0.000
0.000 0.500 0.500
0.500 0.000 0.500
0.500 0.500 0.500
```

=====

DFT (PBE) results for a relaxed Cs2KRbTe crystal.

Symmetry: P4/mmm
E_form (uncorrected): -522 meV/atom
Energy relative to the lowest polymorph listed for this composition: 6 meV/atom

Geometry as POSCAR:
```
Cs2KRbTe
1.0
7.530 0.000 0.000
0.000 7.530 0.000
0.000 0.000 7.161
Cs K Rb Te
2 1 1 1
Direct
0.000 0.500 0.000
0.500 0.000 0.000
0.000 0.000 0.500
0.500 0.500 0.500
0.500 0.500 0.000
```

=====

DFT (PBE) results for a relaxed CsKRb2Te crystal.

Symmetry: P4/mmm
E_form (uncorrected): -511 meV/atom
Energy relative to the lowest polymorph listed for this composition: 0 meV/atom

Geometry as POSCAR:
```
CsKRb2Te
1.0
7.170 0.000 0.000
0.000 7.170 0.000
0.000 0.000 7.519
Cs K Rb Te
1 1 2 1
Direct
0.000 0.000 0.000
0.500 0.500 0.000
0.000 0.500 0.500
0.500 0.000 0.500
0.000 0.000 0.500
```

=====

DFT (PBE) results for a relaxed Cs2KRbTl crystal.

ΔE_f: 0.05 eV/atom
Symmetry: P4/mmm
Energy relative to the lowest polymorph listed for this composition: 0 meV/atom

Geometry as POSCAR:
```
Cs2KRbTl
1.0
7.590 0.000 0.000
0.000 7.590 0.000
0.000 0.000 7.202
Cs K Rb Tl
2 1 1 1
Direct
0.000 0.500 0.000
0.500 0.000 0.000
0.000 0.000 0.500
0.500 0.500 0.500
0.000 0.000 0.000
```

=====

DFT (PBE) results for a relaxed CsK2Rb8Tl crystal.

ΔE_f: 0.02 eV/atom
Symmetry: P-1

Geometry as POSCAR:
```
CsK2Rb8Tl
1.0
7.441 0.000 0.000
-3.720 8.977 0.000
-0.004 -0.028 14.328
Cs K Rb Tl
1 2 8 1
Direct
0.000 0.000 0.000
0.494 0.992 0.232
0.506 0.008 0.768
0.150 0.304 0.295
0.152 0.303 0.703
0.319 0.638 0.992
0.376 0.749 0.503
0.624 0.251 0.497
0.681 0.362 0.008
0.848 0.697 0.297
0.850 0.696 0.705
0.000 0.000 0.500
```

=====

DFT (PBE) results for a relaxed CsK2RbTl crystal.

ΔE_f: 0.04 eV/atom
Symmetry: P4/mmm
Energy relative to the lowest polymorph listed for this composition: 25 meV/atom

Geometry as POSCAR:
```
CsK2RbTl
1.0
7.127 0.000 0.000
0.000 7.127 0.000
0.000 0.000 7.387
Cs K Rb Tl
1 2 1 1
Direct
0.000 0.000 0.000
0.000 0.500 0.500
0.500 0.000 0.500
0.500 0.500 0.000
0.000 0.000 0.500
```

=====

Calculated total DFT energy (no corrections) in order - -1.905, -1.905, -1.916, -1.180, -1.077, -1.235 eV per atom
Calculated density of states at the Fermi level in order - 2.13, 2.13, 2.14, 5.84, 10.48, 4.00 states/eV/cell
Calculated size of the total moment in order - 0.00, 0.00, 0.00, 0.00, 0.17, 0.00 μB per formula unit